# 1
A geometry-optimized BeAlSnC2 structure, computed with PBE.

abc: 3.8016 3.8016 4.7078
angles: 90.00 90.00 90.00
Space group P4/mmm (No. 123)
One atom of each set of equivalent atoms:
Be 0.0000 0.0000 0.0000 [1 per cell]
Al 0.0000 0.0000 0.5000 [1 per cell]
Sn 0.5000 0.5000 0.5000 [1 per cell]
C 0.0000 0.5000 0.0000 [2 per cell]

Properties
**E**: -21.21 eV/cell

---

# 2
A geometry-optimized PuNp4U3As8 structure, computed with PBE.

abc: 14.1527 8.1686 8.1933
angles: 90.00 125.11 90.00
Space group C2/m (No. 12)
One atom of each set of equivalent atoms:
Pu 0.0000 0.0000 0.0000 [2 per cell]
Np 0.0000 0.0000 0.5000 [2 per cell]
Np 0.0000 0.5000 0.5000 [2 per cell]
Np 0.2500 0.2500 0.0000 [4 per cell]
U 0.0000 0.5000 0.0000 [2 per cell]
U 0.2500 0.2500 0.5000 [4 per cell]
As 0.0009 0.2512 0.2510 [8 per cell]
As 0.2488 0.5000 0.2501 [4 per cell]
As 0.2488 0.5000 0.7476 [4 per cell]

Properties
**E**: -297.30 eV/cell

---

# 3
A geometry-optimized MoPtRh2 structure, computed with PBE.

abc: 5.5322 7.8018 2.7480
angles: 90.00 90.00 90.00
Space group Cmmm (No. 65)
One atom of each set of equivalent atoms:
Mo 0.0000 0.0000 0.0000 [2 per cell]
Pt 0.0000 0.5000 0.0000 [2 per cell]
Rh 0.2500 0.2500 0.5000 [4 per cell]

Properties
**E**: -64.22 eV/cell
**Energy above the most stable polymorph in this dataset**: 122 meV per atom

---

# 4
A geometry-optimized CeTmAl6 structure, computed with PBE.

abc: 6.2821 6.2821 4.6397
angles: 90.00 90.00 120.00
Space group P-6m2 (No. 187)
One atom of each set of equivalent atoms:
Ce 0.0000 0.0000 0.0000 [1 per cell]
Tm 0.6667 0.3333 0.5000 [1 per cell]
Al 0.0380 0.5190 0.0000 [3 per cell]
Al 0.1872 0.3744 0.5000 [3 per cell]

Properties
**E**: -36.13 eV/cell